[1]
VASP calculation (GGA-PBE) on an optimized crystal structure of Cs3Mn5S12.

As for the uncorrected energy: -5.334 eV per atom.

Cell and atoms, written as CIF:
```
data_Cs3Mn5S12
_chemical_formula_sum 'Cs24 Mn40 S96'
_cell_length_a 15.851
_cell_length_b 15.851
_cell_length_c 15.851
_cell_angle_alpha 90.00
_cell_angle_beta 90.00
_cell_angle_gamma 90.00
_space_group_name_H-M_alt 'I a -3 d'
_space_group_IT_number 230
_space_group_name_Hall '-I 4bd 2c 3'
loop_
_atom_site_label
_atom_site_type_symbol
_atom_site_fract_x
_atom_site_fract_y
_atom_site_fract_z
Cs1 Cs 0.000 0.250 0.125
Mn1 Mn 0.000 0.000 0.000
Mn2 Mn 0.000 0.250 0.375
S1 S 0.039 0.146 0.947
```



[2]
VASP calculation (GGA-PBE) on an optimized crystal structure of Ho4TmHg2.

The formation energy is 0.03 eV per atom.

Cell and atoms, written as CIF:
```
data_Ho4TmHg2
_chemical_formula_sum 'Ho12 Tm3 Hg6'
_cell_length_a 5.0517
_cell_length_b 5.0517
_cell_length_c 29.8571
_cell_angle_alpha 90.00
_cell_angle_beta 90.00
_cell_angle_gamma 120.00
_space_group_name_H-M_alt 'R -3 m'
_space_group_IT_number 166
_space_group_name_Hall '-R 3 2"'
loop_
_atom_site_label
_atom_site_type_symbol
_atom_site_fract_x
_atom_site_fract_y
_atom_site_fract_z
Ho1 Ho 0.0000 0.0000 0.1081
Ho2 Ho 0.0000 0.0000 0.2962
Tm1 Tm 0.0000 0.0000 0.5000
Hg1 Hg 0.0000 0.0000 0.3994
```



Calculated volume (computed, A^3/atom): 24.891 31.421